[1]
DFT (PBE) results for crystalline NdAl4Tc at its relaxed geometry.

The volume comes out at 19.27 Å³ per atom. The spin magnetization is 0.00 μB/cell. As for the energy: -5.44 eV/atom.

The space group is Pmma (No. 51) and the conventional cell measures 7.840, 4.191 and 7.038 Å, with angles of 90.00, 90.00 and 90.00 degrees. The inequivalent atoms are Nd at (0.250, 0.000, 0.134), Al at (0.000, 0.000, 0.500), Al at (0.067, 0.500, 0.810), Al at (0.250, 0.500, 0.468) and Tc at (0.250, 0.000, 0.701).

***

[2]
DFT (PBE) results for crystalline Nd4AlTc at its relaxed geometry.

The volume comes out at 29.32 Å³ per atom. The spin magnetization is 0.00 μB/cell. As for the energy: -5.63 eV/atom.

The space group is C2/c (No. 15) and the conventional cell measures 8.788, 13.230 and 6.355 Å, with angles of 90.00, 107.76 and 90.00 degrees. The inequivalent atoms are Nd at (0.111, 0.169, 0.045), Nd at (0.208, 0.422, 0.397), Al at (0.000, 0.377, 0.750) and Tc at (0.000, 0.000, 0.250).